Record 1
29
Lattice="-4.459 4.459 4.459 4.459 -4.459 4.459 4.459 4.459 -4.459" Properties=species:S:1:pos:R:3 comment="Al12Ni17, relaxed, DFT PBE" total_energy_ev_per_atom=-5.1473 rho_kg_m3=6187 sg="No. 217" polymorph_energy_mev_per_atom=26.0 magmom_total_mub_per_cell=0.02 pbc="T T T"
Al 2.703 0.880 -0.880
Al 2.703 -0.880 0.880
Al 6.216 0.880 0.880
Al 0.880 2.703 -0.880
Al 0.880 -0.880 2.703
Al -0.880 2.703 0.880
Al -0.880 0.880 2.703
Al 3.579 3.579 1.756
Al 3.579 1.756 3.579
Al 0.880 6.216 0.880
Al 0.880 0.880 6.216
Al 1.756 3.579 3.579
Ni 0.000 0.000 0.000
Ni 3.002 3.002 -3.002
Ni 4.953 1.246 -1.246
Ni 3.002 -3.002 3.002
Ni 4.953 -1.246 1.246
Ni 3.966 1.246 1.246
Ni 3.213 3.213 -0.493
Ni 3.213 -0.493 3.213
Ni 1.457 1.457 1.457
Ni 1.246 4.953 -1.246
Ni 1.246 -1.246 4.953
Ni 1.246 3.966 1.246
Ni 1.246 1.246 3.966
Ni -3.002 3.002 3.002
Ni -1.246 4.953 1.246
Ni -1.246 1.246 4.953
Ni -0.493 3.213 3.213


Record 2
29
Lattice="-4.481 4.481 4.481 4.481 -4.481 4.481 4.481 4.481 -4.481" Properties=species:S:1:pos:R:3 comment="Al13Ni16, relaxed, DFT PBE" total_energy_ev_per_atom=-5.1180 rho_kg_m3=5949 sg="No. 217" polymorph_energy_mev_per_atom=54.4 magmom_total_mub_per_cell=0.01 pbc="T T T"
Al 0.000 0.000 0.000
Al 2.741 0.889 -0.889
Al 2.741 -0.889 0.889
Al 6.222 0.889 0.889
Al 0.889 2.741 -0.889
Al 0.889 -0.889 2.741
Al -0.889 2.741 0.889
Al -0.889 0.889 2.741
Al 3.593 3.593 1.741
Al 3.593 1.741 3.593
Al 0.889 6.222 0.889
Al 0.889 0.889 6.222
Al 1.741 3.593 3.593
Ni 3.058 3.058 -3.058
Ni 4.989 1.255 -1.255
Ni 3.058 -3.058 3.058
Ni 4.989 -1.255 1.255
Ni 3.974 1.255 1.255
Ni 3.227 3.227 -0.507
Ni 3.227 -0.507 3.227
Ni 1.423 1.423 1.423
Ni 1.255 4.989 -1.255
Ni 1.255 -1.255 4.989
Ni 1.255 3.974 1.255
Ni 1.255 1.255 3.974
Ni -3.058 3.058 3.058
Ni -1.255 4.989 1.255
Ni -1.255 1.255 4.989
Ni -0.507 3.227 3.227


Record 3
30
Lattice="8.575 0.000 0.000 0.000 8.575 0.000 0.000 0.000 4.865" Properties=species:S:1:pos:R:3 comment="AlNi2, relaxed, DFT PBE" total_energy_ev_per_atom=-5.2273 rho_kg_m3=6702 sg="No. 136" magmom_total_mub_per_cell=0.05 pbc="T T T"
Al 0.000 0.000 0.000
Al 1.720 1.720 1.220
Al 1.720 1.720 3.645
Al 2.568 6.007 1.212
Al 2.568 6.007 3.652
Al 4.288 4.288 2.432
Al 6.007 2.568 1.212
Al 6.007 2.568 3.652
Al 6.855 6.855 1.220
Al 6.855 6.855 3.645
Ni 0.258 5.462 2.432
Ni 0.436 6.315 0.000
Ni 0.838 7.737 2.432
Ni 1.174 4.030 0.000
Ni 2.028 3.852 2.432
Ni 2.260 8.139 0.000
Ni 3.113 8.317 2.432
Ni 3.449 3.449 0.000
Ni 3.852 2.028 2.432
Ni 4.030 1.174 0.000
Ni 4.545 7.401 0.000
Ni 4.724 6.547 2.432
Ni 5.126 5.126 0.000
Ni 5.462 0.258 2.432
Ni 6.315 0.436 0.000
Ni 6.547 4.724 2.432
Ni 7.401 4.545 0.000
Ni 7.737 0.838 2.432
Ni 8.139 2.260 0.000
Ni 8.317 3.113 2.432


Record 4
13
Lattice="2.464 1.423 8.181 -2.464 1.423 8.181 0.000 -2.845 8.181" Properties=species:S:1:pos:R:3 comment="Al7Ni6, relaxed, DFT PBE" total_energy_ev_per_atom=-4.7118 rho_kg_m3=5221 sg="No. 166" polymorph_energy_mev_per_atom=351.2 magmom_total_mub_per_cell=0.01 pbc="T T T"
Al 0.000 0.000 0.000
Al 0.000 -1.408 6.086
Al -1.219 0.704 6.086
Al -1.219 -0.704 18.457
Al 1.219 0.704 6.086
Al 1.219 -0.704 18.458
Al 0.000 1.408 18.458
Ni 0.000 0.000 4.098
Ni 0.000 0.000 8.348
Ni 0.000 0.000 11.073
Ni 0.000 0.000 13.470
Ni 0.000 0.000 16.195
Ni 0.000 0.000 20.445


Q: What is the formula in the third record?
A: AlNi2